(1)
Entry from the Alexandria database: a geometry-optimized Y2Er5Tm structure (PBE).

a = 16.1977 Å, b = 5.5764 Å, c = 11.3234 Å
α = 90.00°, β = 90.04°, γ = 90.00°
With the nearest neighbours (Å) after each atom.
Space group C2/m (No. 12)
Symmetry-distinct sites (fractional):
Y (0.2125, 0.0000, 0.0810) [4 per cell]  5 Er 3.45-3.71, 3 Tm 3.52-3.75, 3 Y 3.55-3.82
Y (0.2127, 0.0000, 0.4188) [4 per cell]  5 Er 3.45-3.71, 3 Tm 3.52-3.76, 3 Y 3.55-3.82
Er (0.0451, 0.0000, 0.8877) [4 per cell]  2 Er 2.93-3.13
Er (0.0460, 0.0000, 0.6116) [4 per cell]  2 Er 2.93-3.13
Er (0.0873, 0.5000, 0.0784) [4 per cell]  7 Er 3.34-3.73, 3 Y 3.45-3.71, 1 Tm 3.58
Er (0.0871, 0.5000, 0.4209) [4 per cell]  7 Er 3.34-3.74, 3 Y 3.45-3.71, 1 Tm 3.58
Er (0.1055, 0.5000, 0.7500) [4 per cell]  8 Er 3.34-3.74, 2 Tm 3.41, 2 Y 3.51
Tm (0.2272, 0.0000, 0.7502) [4 per cell]  6 Er 3.33-3.58, 4 Y 3.52

formation energy: 136 meV per atom

***

(2)
Entry from the Alexandria database: a geometry-optimized NbCuSiMo2 structure (PBE).

a = 4.7227 Å, b = 4.7227 Å, c = 4.7365 Å
α = 90.00°, β = 90.00°, γ = 90.00°
With the nearest neighbours (Å) after each atom.
Space group P4/mmm (No. 123)
Symmetry-distinct sites (fractional):
Nb (0.0000, 0.0000, 0.0000) [1 per cell]  4 Mo 2.36, 2 Cu 2.37
Cu (0.0000, 0.0000, 0.5000) [1 per cell]  2 Nb 2.37
Si (0.5000, 0.5000, 0.5000) [1 per cell]  4 Cu 3.34, 8 Mo 3.34
Mo (0.0000, 0.5000, 0.0000) [2 per cell]  2 Nb 2.36

formation energy without anion corrections: 1873 meV per atom

***

(3)
Entry from the Alexandria database: a geometry-optimized HgH structure (PBE).

a = 3.0590 Å, b = 3.0590 Å, c = 3.7352 Å
α = 89.64°, β = 89.88°, γ = 89.29°
With the nearest neighbours (Å) after each atom.
Space group P-1 (No. 2)
Symmetry-distinct sites (fractional):
Hg (0.0000, 0.0000, 0.0000) [1 per cell]  2 H 1.87
H (0.0000, 0.0000, 0.5000) [1 per cell]  2 Hg 1.87

***

(4)
Entry from the Alexandria database: a geometry-optimized LaNd2ScS4 structure (PBE).

a = 6.9585 Å, b = 3.9653 Å, c = 6.9816 Å
α = 90.00°, β = 108.87°, γ = 90.00°
With the nearest neighbours (Å) after each atom.
Space group P2/m (No. 10)
Symmetry-distinct sites (fractional):
La (0.0000, 0.0000, 0.0000) [1 per cell]  6 S 2.86
Nd (0.5000, 0.0000, 0.5000) [1 per cell]  6 S 2.82
Nd (0.5000, 0.5000, 0.0000) [1 per cell]  6 S 2.96
Sc (0.0000, 0.5000, 0.5000) [1 per cell]  6 S 2.71-2.72
S (0.2302, 0.0000, 0.7275) [2 per cell]  2 Sc 2.72, 3 Nd 2.82-2.96, 1 La 2.86
S (0.2422, 0.5000, 0.2640) [2 per cell]  1 Sc 2.71, 3 Nd 2.82-2.96, 2 La 2.86

formation energy without anion corrections: -1974 meV per atom

***

no.,raw total energy (eV per atom)
1,-4.891
2,-6.377
3,-1.502
4,-6.637